[1]
VASP calculation (PBE) on KLa4Sc after structural relaxation.

Formation enthalpy at 0 K: 0.458 eV per atom
SG: No. 216

Unit cell a=6.898 b=6.898 c=6.898 alpha=60.00 beta=60.00 gamma=60.00
Sites, in units of the cell vectors:
K  0.000  0.000  0.000
La  0.147  0.618  0.618
La  0.618  0.147  0.618
La  0.618  0.618  0.147
La  0.618  0.618  0.618
Sc  0.250  0.250  0.250



[2]
VASP calculation (PBE) on FeOsRu2 after structural relaxation.

Formation enthalpy at 0 K: 0.037 eV per atom
SG: No. 62

Unit cell a=4.654 b=4.259 c=10.698 alpha=90.00 beta=90.00 gamma=90.00
Sites, in units of the cell vectors:
Fe  0.079  0.250  0.060
Fe  0.421  0.750  0.560
Fe  0.579  0.250  0.440
Fe  0.921  0.750  0.940
Os  0.078  0.250  0.311
Os  0.422  0.750  0.811
Os  0.578  0.250  0.189
Os  0.922  0.750  0.689
Ru  0.086  0.250  0.821
Ru  0.096  0.250  0.560
Ru  0.404  0.750  0.060
Ru  0.414  0.750  0.321
Ru  0.586  0.250  0.679
Ru  0.596  0.250  0.940
Ru  0.904  0.750  0.440
Ru  0.914  0.750  0.179



Number 1: M_tot 0.002 μB per atom, calculated density 4.58 g cm⁻³. Number 2: M_tot 0.210 μB per atom, calculated density 14.04 g cm⁻³.